Entry 1:
Here is a relaxed Nd2InSi crystal from Alexandria. Energies are from PBE.

```
Nd2InSi
1.0
3.904 0.000 0.000
0.000 3.904 0.000
0.000 0.000 6.897
Si Nd In
1 2 1
Direct
0.500 0.500 0.000
0.000 0.000 0.777
0.000 0.000 0.223
0.500 0.500 0.500
```

Volume = 105 Å³ per cell
Total moment = 0.0 μB per formula unit
Formation energy without anion corrections = -0.46 eV per atom
Crystal system = tetragonal

Entry 2:
Here is a relaxed Ho3CoAu crystal from Alexandria. Energies are from PBE.

```
Ho3CoAu
1.0
4.185 -0.001 0.000
0.002 6.705 0.000
0.000 0.000 8.657
Au Co Ho
2 2 6
Direct
0.750 0.250 0.168
0.250 0.750 0.832
0.250 0.250 0.613
0.750 0.750 0.387
0.750 0.997 0.656
0.250 0.497 0.344
0.250 0.003 0.344
0.750 0.503 0.656
0.250 0.250 0.932
0.750 0.750 0.068
```

Volume = 243 Å³ per cell
Total moment = 0.0 μB per formula unit
Formation energy from the elements = -0.395 eV per atom
E above lowest polymorph = 0.027 eV/atom
Crystal system = orthorhombic

Entry 3:
Here is a relaxed TaMnAs4 crystal from Alexandria. Energies are from PBE.

```
TaMnAs4
1.0
0.000 3.817 3.817
3.817 0.000 3.817
3.817 3.817 0.000
Ta Mn As
1 1 4
Direct
0.000 0.000 0.000
0.750 0.750 0.750
0.375 0.375 0.375
0.876 0.375 0.375
0.375 0.876 0.375
0.375 0.375 0.876
```

Volume = 111 Å³ per cell
Total moment = 3.5 μB per formula unit
Formation energy from the elements = 0.700 eV per atom
Crystal system = cubic

Entry 4:
Here is a relaxed LaFe3H6 crystal from Alexandria. Energies are from PBE.

```
LaFe3H6
1.0
-4.724 -0.761 -0.043
2.822 -2.641 2.822
1.705 4.261 2.260
H Fe La
6 3 1
Direct
0.798 0.054 0.208
0.462 0.410 0.207
0.329 0.915 0.762
0.347 0.432 0.761
0.155 0.744 0.208
0.847 0.414 0.762
0.345 0.673 0.017
0.671 0.336 0.007
0.260 0.130 0.389
0.786 0.893 0.678
```

Volume = 85 Å³ per cell
Total moment = 5.8 μB per formula unit
Calculated total energy = -51.07 eV per cell
Crystal system = triclinic

Entry 5:
Here is a relaxed Tb2Cl3 crystal from Alexandria. Energies are from PBE.

```
Tb2Cl3
1.0
-4.872 2.946 2.552
-3.311 -2.771 4.504
1.825 3.078 7.558
Cl Tb
6 4
Direct
0.921 0.250 0.250
0.421 0.079 0.750
0.579 0.921 0.250
0.250 0.579 0.250
0.750 0.421 0.750
0.079 0.750 0.750
0.833 0.833 0.501
0.167 0.167 0.499
0.333 0.333 0.001
0.667 0.667 0.999
```

Volume = 254 Å³ per cell
Total moment = 1.3 μB per formula unit
Formation energy without anion corrections = -1.50 eV per atom
Crystal system = trigonal

Entry 6:
Here is a relaxed ErBiO crystal from Alexandria. Energies are from PBE.

```
ErBiO
1.0
3.408 0.000 0.000
-1.704 2.951 0.000
0.000 0.000 12.767
Bi Er O
2 2 2
Direct
0.000 0.000 0.285
0.000 0.000 0.715
0.000 0.000 0.000
0.333 0.667 0.500
0.333 0.667 0.905
0.333 0.667 0.095
```

Volume = 128 Å³ per cell
Total moment = 0.0 μB per formula unit
E above lowest polymorph = 0.748 eV/atom
Formation energy without anion corrections = -1.38 eV per atom
Crystal system = hexagonal

Entry 7:
Here is a relaxed CaHfFeH2 crystal from Alexandria. Energies are from PBE.

```
CaHfFeH2
1.0
4.040 0.000 0.000
0.000 4.785 0.000
0.000 0.000 4.040
Fe Ca Hf H
1 1 1 2
Direct
0.000 0.500 0.000
0.500 0.500 0.500
0.000 0.000 0.000
0.500 0.000 0.000
0.000 0.000 0.500
```

Volume = 78 Å³ per cell
Total moment = 1.1 μB per formula unit
Calculated total energy = -25.66 eV per cell
Crystal system = tetragonal

Entry 8:
Here is a relaxed KMoI2 crystal from Alexandria. Energies are from PBE.

```
KMoI2
1.0
0.000 3.754 3.754
3.754 0.000 3.754
3.754 3.754 0.000
I K Mo
2 1 1
Direct
0.750 0.750 0.750
0.250 0.250 0.250
0.000 0.000 0.000
0.500 0.500 0.500
```

Volume = 106 Å³ per cell
Total moment = 1.0 μB per formula unit
E above lowest polymorph = 0.341 eV/atom
Formation energy without anion corrections = 0.51 eV per atom
Crystal system = cubic

What is the formula in the second record? Ho3CoAu

What is the volume in the second record? 243 Å³ per cell